Record 1
DFT (PBE) results for crystalline SrZr2Ru at its relaxed geometry.

Geometry as extended XYZ:
```
4
Lattice="-4.4472 1.0587 -1.5947 -1.6563 -3.0958 2.5638 -0.4591 2.9005 3.2058" Properties=species:S:1:pos:R:3 pbc="T T T"
Ru -3.0518 -1.0186 0.4846
Sr -2.4531 1.9796 0.8055
Zr 0.0000 0.0000 0.0000
Zr -1.0577 -0.0977 2.8848
```

Output
- energy above the lowest structure with this stoichiometry (meV per atom) = 502
- magnetic moment (Bohr magnetons per cell) = 0.0
- energy relative to the elements (eV per atom) = 0.558

Record 2
DFT (PBE) results for crystalline Ti4SiGe at its relaxed geometry.

Geometry as extended XYZ:
```
12
Lattice="7.3737 0.0000 -1.1671 0.0000 4.3161 0.0000 -1.4443 0.0000 6.7479" Properties=species:S:1:pos:R:3 pbc="T T T"
Ti 6.2489 2.1580 -0.3154
Ti 3.3675 4.3160 5.3126
Ti 1.5852 2.1580 2.0286
Ti 0.6574 4.3160 4.1357
Ti -0.3194 2.1581 5.8962
Ti 2.5620 0.0000 0.2681
Ti 4.3443 2.1581 3.5521
Ti 5.2720 0.0001 1.4450
Si 0.0000 0.0000 0.0000
Si 3.6869 2.1580 -0.5836
Ge 2.9647 0.0000 2.7904
Ge -0.7221 2.1580 3.3739
```

Output
- energy above the lowest structure with this stoichiometry (meV per atom) = 328
- ΔE_f (raw) (meV/atom) = -287
- magnetic moment (Bohr magnetons per cell) = 0.0

Record 3
DFT (PBE) results for crystalline Pu2HfTaN4 at its relaxed geometry.

Geometry as extended XYZ:
```
8
Lattice="3.2615 0.0000 0.0000 0.0000 5.6583 0.1011 0.0000 -1.9770 5.5096" Properties=species:S:1:pos:R:3 pbc="T T T"
Pu 1.6307 -0.9885 2.7548
Pu 0.0000 1.8406 2.8053
Hf 0.0000 0.0000 0.0000
Ta 1.6307 2.8291 0.0505
N 1.6307 0.9500 1.2266
N 1.6307 2.7313 4.3840
N 0.0000 -0.0451 4.3381
N 0.0000 3.7263 1.2726
```

Output
- ΔE_f (raw) (meV/atom) = -1411
- magnetic moment (Bohr magnetons per cell) = 9.7

Record 4
DFT (PBE) results for crystalline FeMo2HW at its relaxed geometry.

Geometry as extended XYZ:
```
5
Lattice="-2.6935 0.0739 3.3234 -3.2382 -1.0247 -2.6018 0.5909 -3.2679 0.5516" Properties=species:S:1:pos:R:3 pbc="T T T"
H 0.0000 0.0000 0.0000
Mo -1.6191 -0.5124 -1.3009
Mo -1.3468 0.0369 1.6617
Fe 0.2955 -1.6340 0.2758
W -2.6704 -2.1094 0.6366
```

Output
- DFT total energy (eV per atom) = -9.166
- magnetic moment (Bohr magnetons per cell) = 2.2

Record 5
DFT (PBE) results for crystalline LiLa2Cr at its relaxed geometry.

Geometry as extended XYZ:
```
4
Lattice="-0.1877 -3.8101 5.0211 0.1807 -5.9914 1.9582 4.7116 -1.6095 1.7128" Properties=species:S:1:pos:R:3 pbc="T T T"
Cr 1.2839 -2.6645 2.0519
La 0.1074 -9.6047 6.8529
La 3.4770 -8.6464 6.5756
Li 2.1818 -6.0026 4.5371
```

Output
- magnetic moment (Bohr magnetons per cell) = 3.2
- energy relative to the elements (eV per atom) = 0.321

Record 6
DFT (PBE) results for crystalline DyMgGaPb at its relaxed geometry.

Geometry as extended XYZ:
```
4
Lattice="-0.9498 -4.0456 3.0917 3.6960 -3.5248 0.8618 2.2644 -0.2945 4.6490" Properties=species:S:1:pos:R:3 pbc="T T T"
Pb 3.7579 -5.8986 6.4518
Mg 0.0000 0.0000 0.0000
Ga 1.2526 -1.9662 2.1506
Dy 2.5053 -3.9324 4.3012
```

Output
- magnetic moment (Bohr magnetons per cell) = 0.0
- energy relative to the elements (eV per atom) = -0.226

Record 7
DFT (PBE) results for crystalline ZnAsO3 at its relaxed geometry.

Geometry as extended XYZ:
```
10
Lattice="-1.4358 1.8021 -4.6225 -1.1039 -3.2901 -3.8253 -6.5089 -0.5958 -1.0961" Properties=species:S:1:pos:R:3 pbc="T T T"
Zn -5.3415 -1.5374 -7.5967
Zn -3.7071 -0.5464 -1.9471
As -2.8083 -1.0117 -5.2931
As -6.2403 -1.0722 -4.2507
O -3.3057 -2.6461 -4.8684
O -3.8642 -0.4371 -6.5791
O -3.0540 0.0164 -3.8854
O -5.7429 0.5622 -4.6754
O -5.1843 -1.6468 -2.9647
O -5.9945 -2.1002 -5.6584
```

Output
- ΔE_f (raw) (meV/atom) = -1105
- magnetic moment (Bohr magnetons per cell) = 0.0

Record 8
DFT (PBE) results for crystalline SiTc2Hg at its relaxed geometry.

Geometry as extended XYZ:
```
4
Lattice="-1.2216 3.5510 2.1526 -2.0527 1.1662 3.6279 4.3323 0.6783 3.5371" Properties=species:S:1:pos:R:3 pbc="T T T"
Hg 0.2645 1.3488 2.3294
Si 0.7935 4.0465 6.9882
Tc 4.0439 0.7010 3.4114
Tc 0.8174 2.6749 4.7845
```

Output
- energy above the lowest structure with this stoichiometry (meV per atom) = 219
- ΔE_f (raw) (meV/atom) = 265
- magnetic moment (Bohr magnetons per cell) = 0.0

Record 9
DFT (PBE) results for crystalline TbYBr at its relaxed geometry.

Geometry as extended XYZ:
```
6
Lattice="3.7130 0.0000 0.0000 1.8565 3.2156 0.0000 1.8565 1.0719 16.4369" Properties=species:S:1:pos:R:3 pbc="T T T"
Y 3.7130 2.1437 3.9082
Y 3.7130 2.1437 12.5288
Br 1.8565 1.0719 1.9380
Br 5.5695 3.2156 14.4989
Tb 5.5695 3.2156 6.7683
Tb 1.8565 1.0719 9.6686
```

Output
- energy above the lowest structure with this stoichiometry (meV per atom) = 0
- ΔE_f (raw) (meV/atom) = -793
- magnetic moment (Bohr magnetons per cell) = 1.0

Record 10
DFT (PBE) results for crystalline NaZn2N2 at its relaxed geometry.

Geometry as extended XYZ:
```
10
Lattice="-3.6320 5.0724 1.4606 -5.2532 -3.6468 -0.3981 0.2202 -0.6072 2.6565" Properties=species:S:1:pos:R:3 pbc="T T T"
Na 0.0000 0.0000 0.0000
Na -4.4426 0.7128 0.5312
Zn -3.7571 -1.9280 1.2775
Zn -6.7327 -0.1968 1.9200
Zn -4.9078 2.7463 2.4414
Zn -1.9322 1.0151 1.7990
N -5.6104 -1.3447 0.1578
N -6.5248 1.8175 0.9564
N -3.2748 2.7703 0.9047
N -2.3604 -0.3919 0.1061
```

Output
- energy above the lowest structure with this stoichiometry (meV per atom) = 280
- ΔE_f (raw) (meV/atom) = 641
- magnetic moment (Bohr magnetons per cell) = 0.0

Record 11
DFT (PBE) results for crystalline LaTlTcO5 at its relaxed geometry.

Geometry as extended XYZ:
```
16
Lattice="6.7294 0.0192 -0.0863 -1.9461 6.4419 -0.0863 -2.0878 -2.8201 7.6627" Properties=species:S:1:pos:R:3 pbc="T T T"
La -1.0439 -1.4100 3.8313
La 0.0000 0.0000 0.0000
Tl 0.1367 3.8085 1.8294
Tl 2.5589 -0.1676 5.6607
Tc 3.4834 1.3308 1.8294
Tc -0.7879 2.3101 5.6607
O -1.7784 5.2263 1.8294
O 4.4739 -1.5853 5.6607
O 4.9888 1.5988 0.8727
O -2.2932 2.0422 6.6174
O 3.6665 -0.1872 2.7860
O -0.9710 3.8282 4.7041
O 3.2014 2.6878 2.9471
O -0.5058 0.9531 4.5430
O 2.1032 1.2044 0.7117
O 0.5924 2.4365 6.7784
```

Output
- ΔE_f (raw) (meV/atom) = -1899
- magnetic moment (Bohr magnetons per cell) = 2.0

Record 12
DFT (PBE) results for crystalline Dy2Ga5Ni5 at its relaxed geometry.

Geometry as extended XYZ:
```
36
Lattice="-1.5198 -3.6832 0.7489 3.8913 0.0155 7.9730 -12.6396 6.4980 6.3076" Properties=species:S:1:pos:R:3 pbc="T T T"
Dy -4.2537 2.1877 2.1269
Dy -8.5789 5.4284 9.2879
Dy -0.2046 1.1144 5.0657
Dy -8.3573 4.3116 4.2447
Dy 3.0448 -1.8155 8.2242
Dy -5.0617 1.3730 7.4547
Ga -7.0303 1.4234 3.7074
Ga 1.2289 -1.8281 4.4768
Ga -1.1855 -0.1266 7.9455
Ga -9.3031 3.0630 7.1585
Ga -2.9083 -0.2506 3.8392
Ga -7.2311 3.0067 11.0865
Ga -10.2147 5.5493 6.5626
Ga -1.2965 0.9518 2.0500
Ga -5.6302 4.2088 9.2735
Ga -3.2055 3.2218 9.3400
Ga 1.1430 0.0089 2.3636
Ga 1.5447 0.9122 7.6214
Ga -6.6140 4.1227 6.8538
Ga -3.1860 2.3710 5.1953
Ga -7.6090 5.6315 12.2548
Ni 0.7328 -0.6213 9.4058
Ni -7.4263 2.5939 8.6603
Ni -4.9411 0.7607 4.6880
Ni -9.3368 4.0235 11.8138
Ni -2.9103 0.8547 9.2716
Ni -11.2176 4.0918 8.3333
Ni -2.8147 0.1955 6.2235
Ni -7.2008 3.4809 13.4803
Ni 0.7318 -1.1627 6.7410
Ni -7.4167 2.0456 5.9831
Ni -0.8023 -1.2674 3.1126
Ni -5.1309 1.9806 10.3024
Ni -5.4991 3.2438 4.7938
Ni 2.7131 0.0192 5.6005
Ni -1.9599 2.3099 7.3833
```

Output
- energy above the lowest structure with this stoichiometry (meV per atom) = 0
- magnetic moment (Bohr magnetons per cell) = 0.0
- energy relative to the elements (eV per atom) = -0.562